BaH3Os: optimized geometry, PBE-GGA.

abc: 3.9147 3.9147 3.9147
angles: 90.00 90.00 90.00
Closest atoms and distances in Å follow each position.
Fractional positions:
H  0.0000  0.5000  0.0000  2 Os 1.96
H  0.0000  0.0000  0.5000  2 Os 1.96
H  0.5000  0.0000  0.0000  2 Os 1.96
Os  0.0000  0.0000  0.0000  6 H 1.96
Ba  0.5000  0.5000  0.5000  12 H 2.77

Size of the total moment = 0.00 μB per cell
Uncorrected energy = -23.336 eV/cell

BaHOsPt2: optimized geometry, PBE-GGA.

abc: 5.0139 4.0359 5.0139
angles: 90.00 90.00 90.00
Closest atoms and distances in Å follow each position.
Fractional positions:
H  0.0000  0.5000  0.0000  2 Os 2.02
Os  0.0000  0.0000  0.0000  2 H 2.02
Ba  0.5000  0.5000  0.5000  8 Pt 3.22, 4 H 3.55
Pt  0.0000  0.0000  0.5000  2 Os 2.51
Pt  0.5000  0.0000  0.0000  2 Os 2.51

Size of the total moment = 0.00 μB per cell
Uncorrected energy = -27.447 eV/cell

Rb2BaH6Os: optimized geometry, PBE-GGA.

abc: 6.3752 6.3056 6.3056
angles: 120.00 90.00 90.00
Closest atoms and distances in Å follow each position.
Fractional positions:
Rb  0.1022  0.3333  0.6667  3 H 2.74
Rb  0.8978  0.6667  0.3333  3 H 2.74
Ba  0.5000  0.0000  0.0000  6 H 2.63
H  0.8443  0.1323  0.2646  1 Os 1.75
H  0.8443  0.1323  0.8677  1 Os 1.75
H  0.8443  0.7354  0.8677  1 Os 1.75
H  0.1557  0.8677  0.1323  1 Os 1.75
H  0.1557  0.2646  0.1323  1 Os 1.75
H  0.1557  0.8677  0.7354  1 Os 1.75
Os  0.0000  0.0000  0.0000  6 H 1.75

Size of the total moment = 0.00 μB per cell
Uncorrected energy = -37.547 eV/cell

BaSr2H8Os: optimized geometry, PBE-GGA.

abc: 5.2269 5.2269 7.2574
angles: 90.00 90.00 120.00
Closest atoms and distances in Å follow each position.
Fractional positions:
Ba  0.0000  0.0000  0.5000  12 H 2.95-3.02
Sr  0.6667  0.3333  0.1480  10 H 2.42-2.65
Sr  0.3333  0.6667  0.8520  10 H 2.42-2.65
H  0.8457  0.6915  0.8585  1 Os 1.73
H  0.3085  0.1543  0.8585  1 Os 1.73
H  0.8457  0.1543  0.8585  1 Os 1.73
H  0.1543  0.3085  0.1415  1 Os 1.73
H  0.6915  0.8457  0.1415  1 Os 1.73
H  0.1543  0.8457  0.1415  1 Os 1.73
H  0.6667  0.3333  0.4812  1 Sr 2.42
H  0.3333  0.6667  0.5188  1 Sr 2.42
Os  0.0000  0.0000  0.0000  6 H 1.73

Size of the total moment = 0.00 μB per cell
Uncorrected energy = -49.483 eV/cell

BaTi2HOs: optimized geometry, PBE-GGA.

abc: 4.1364 4.9860 4.1364
angles: 90.00 90.00 90.00
Closest atoms and distances in Å follow each position.
Fractional positions:
H  0.0000  0.0000  0.0000  4 Ti 2.07
Os  0.5000  0.5000  0.5000  4 Ba 2.92, 8 Ti 3.24
Ba  0.0000  0.5000  0.0000  2 H 2.49
Ti  0.0000  0.0000  0.5000  2 H 2.07
Ti  0.5000  0.0000  0.0000  2 H 2.07

Size of the total moment = 0.00 μB per cell
Uncorrected energy = -28.902 eV/cell

Ba2PH: optimized geometry, PBE-GGA.

abc: 5.3875 5.3875 5.3875
angles: 60.00 60.00 60.00
Closest atoms and distances in Å follow each position.
Fractional positions:
P  0.5000  0.5000  0.5000  8 Ba 3.30
Ba  0.2500  0.2500  0.2500  4 P 3.30, 4 H 3.30
Ba  0.7500  0.7500  0.7500  4 H 3.30, 4 P 3.30
H  0.0000  0.0000  0.0000  8 Ba 3.30

Size of the total moment = 0.00 μB per cell
Energy above the most stable polymorph in this dataset = 0.055 eV per atom

Q: Look up the size of the total moment of the fifth one.
A: 0.00 μB per cell